# 1
ThPd12Au6 | PBE-GGA | relaxed

Unit cell a=7.487 b=7.487 c=7.487 alpha=106.60 beta=106.60 gamma=106.60
Sites, in units of the cell vectors:
Th (0.000, 0.000, 0.000)
Pd (0.096, 0.335, 0.335)
Pd (0.112, 0.500, 0.888)
Pd (0.112, 0.888, 0.500)
Pd (0.335, 0.096, 0.335)
Pd (0.335, 0.335, 0.096)
Pd (0.500, 0.112, 0.888)
Pd (0.500, 0.888, 0.112)
Pd (0.665, 0.665, 0.904)
Pd (0.665, 0.904, 0.665)
Pd (0.888, 0.112, 0.500)
Pd (0.888, 0.500, 0.112)
Pd (0.904, 0.665, 0.665)
Au (0.302, 0.692, 0.692)
Au (0.308, 0.308, 0.698)
Au (0.308, 0.698, 0.308)
Au (0.692, 0.302, 0.692)
Au (0.692, 0.692, 0.302)
Au (0.698, 0.308, 0.308)

* crystal system: trigonal
* space group: No. 166
* total magnetic moment: 0.000 μB per formula unit
* energy of formation from the pure elements: -5.0 kJ per mole of atoms

# 2
InCoOs4 | PBE-GGA | relaxed

Unit cell a=5.177 b=5.177 c=5.177 alpha=60.00 beta=60.00 gamma=60.00
Sites, in units of the cell vectors:
In (0.000, 0.000, 0.000)
Co (0.250, 0.250, 0.250)
Os (0.126, 0.625, 0.625)
Os (0.625, 0.126, 0.625)
Os (0.625, 0.625, 0.126)
Os (0.625, 0.625, 0.625)

* crystal system: cubic
* space group: No. 216
* total magnetic moment: 3.414 μB per formula unit
* energy of formation from the pure elements: 79.9 kJ per mole of atoms

- Among the records above, which one has the highest energy of formation from the pure elements?
  InCoOs4

Repeat the second record exactly.
InCoOs4 | PBE-GGA | relaxed

Unit cell a=5.177 b=5.177 c=5.177 alpha=60.00 beta=60.00 gamma=60.00
Sites, in units of the cell vectors:
In (0.000, 0.000, 0.000)
Co (0.250, 0.250, 0.250)
Os (0.126, 0.625, 0.625)
Os (0.625, 0.126, 0.625)
Os (0.625, 0.625, 0.126)
Os (0.625, 0.625, 0.625)

* crystal system: cubic
* space group: No. 216
* total magnetic moment: 3.414 μB per formula unit
* energy of formation from the pure elements: 79.9 kJ per mole of atoms

- energy of formation from the pure elements of number 1 (ThPd12Au6)?
  -5.0 kJ per mole of atoms